# 1
The following is a PBE-GGA calculation of an optimized crystal structure of ZnCd3Pt, from Alexandria.

Results
energy above the most stable polymorph in this dataset: 0.0 meV per atom
Fermi-level density of states: 0.27 states/eV/atom
formation energy: 54 kJ/mol of formula units
total energy: -1.90 eV per atom

Unit cell a=5.251 b=5.251 c=5.251 alpha=90.00 beta=90.00 gamma=90.00
Positions (direct):
1 Cd 0.000 0.500 0.000
2 Pt 0.000 0.000 0.000
3 Cd 0.500 0.000 0.000
4 Zn 0.500 0.500 0.500
5 Cd 0.000 0.000 0.500

---

# 2
The following is a PBE-GGA calculation of an optimized crystal structure of HgGe, from Alexandria.

Results
energy above the most stable polymorph in this dataset: 346.4 meV per atom
Fermi-level density of states: 0.70 states/eV/atom
formation energy: 96 kJ/mol of formula units
total energy: -1.96 eV per atom

Unit cell a=6.170 b=6.170 c=6.170 alpha=90.00 beta=90.00 gamma=90.00
Positions (direct):
1 Hg 0.500 0.500 0.000
2 Ge 0.750 0.250 0.750
3 Hg 0.000 0.000 0.000
4 Hg 0.500 0.000 0.500
5 Ge 0.250 0.250 0.250
6 Ge 0.250 0.750 0.750
7 Ge 0.750 0.750 0.250
8 Hg 0.000 0.500 0.500

---

# 3
The following is a PBE-GGA calculation of an optimized crystal structure of Rb2TeSeI, from Alexandria.

Results
Fermi-level density of states: 0.80 states/eV/atom
total energy: -2.85 eV per atom
formation energy (no corrections): -400 kJ/mol of formula units

Unit cell a=6.759 b=6.759 c=5.314 alpha=90.00 beta=90.00 gamma=90.00
Positions (direct):
1 Rb 0.000 0.500 0.000
2 Se 0.000 0.000 0.000
3 Te 0.000 0.000 0.500
4 Rb 0.500 0.000 0.000
5 I 0.500 0.500 0.500